1.
The following is a DFT calculation (GGA-PBEsol) of an optimized crystal structure of BeCu2.

Cell and atoms, written as POSCAR:
```
BeCu2
1.0
2.676 0.000 0.000
0.000 3.883 0.000
-1.338 0.000 5.802
Cu Be
4 2
Cartesian
1.338 0.971 2.712
1.338 2.912 0.949
0.000 0.971 4.854
0.000 2.912 3.090
0.000 0.971 0.877
1.338 2.912 4.925
```

Output
Total magnetic moment ... 0.0 μB per cell
DOS at the Fermi energy ... 0.297 states/eV per atom
ΔE_f ... -53 meV/atom
Space-group type ... Cmcm (63)

2.
The following is a DFT calculation (GGA-PBEsol) of an optimized crystal structure of Ba2NaGa2.

Cell and atoms, written as POSCAR:
```
Ba2NaGa2
1.0
4.204 0.000 0.000
0.000 9.101 0.000
0.000 0.000 9.101
Ba Ga Na
4 4 2
Cartesian
2.102 1.681 6.232
2.102 2.869 1.681
2.102 7.420 2.869
2.102 6.232 7.420
0.000 5.483 0.933
0.000 3.618 8.168
0.000 8.168 5.483
0.000 0.933 3.618
0.000 4.551 4.551
0.000 0.000 0.000
```

Output
Total magnetic moment ... 0.0 μB per cell
DOS at the Fermi energy ... 0.996 states/eV per atom
ΔE_f ... -206 meV/atom
Space-group type ... P4/mbm (127)

3.
The following is a DFT calculation (GGA-PBEsol) of an optimized crystal structure of SrCd3Rh.

Cell and atoms, written as POSCAR:
```
SrCd3Rh
1.0
5.104 0.000 0.000
0.000 5.104 0.000
0.000 0.000 5.104
Cd Sr Rh
3 1 1
Cartesian
0.000 2.552 0.000
2.552 0.000 0.000
0.000 0.000 2.552
2.552 2.552 2.552
0.000 0.000 0.000
```

Output
Total magnetic moment ... 0.0 μB per cell
DOS at the Fermi energy ... 0.596 states/eV per atom
ΔE_f ... -119 meV/atom
Space-group type ... Pm-3m (221)

4.
The following is a DFT calculation (GGA-PBEsol) of an optimized crystal structure of La3HfO.

Cell and atoms, written as POSCAR:
```
La3HfO
1.0
-4.713 -1.342 -0.934
1.150 -4.746 1.019
-1.163 0.747 4.793
O La Hf
1 3 1
Cartesian
0.000 0.000 0.000
-2.357 -0.671 -0.467
0.575 -2.373 0.509
-0.581 0.374 2.397
-2.363 -2.671 2.439
```

Output
Energy relative to the elements, uncorrected ... -1.048 eV/atom
Total magnetic moment ... 0.0 μB per cell
DOS at the Fermi energy ... 0.801 states/eV per atom
Space-group type ... Pm-3m (221)

5.
The following is a DFT calculation (GGA-PBEsol) of an optimized crystal structure of Ga3CuN.

Cell and atoms, written as POSCAR:
```
Ga3CuN
1.0
-2.613 -3.611 0.438
1.465 -1.539 -3.943
3.330 -2.157 2.079
Cu Ga N
1 3 1
Cartesian
0.000 0.000 0.000
1.665 -1.079 1.040
0.733 -0.769 -1.972
-1.307 -1.806 0.219
1.091 -3.654 -0.713
```

Output
Energy relative to the elements, uncorrected ... 1.001 eV/atom
Total magnetic moment ... 1.2 μB per cell
DOS at the Fermi energy ... 0.495 states/eV per atom
Space-group type ... Pm-3m (221)

6.
The following is a DFT calculation (GGA-PBEsol) of an optimized crystal structure of LaZnRu2.

Cell and atoms, written as POSCAR:
```
LaZnRu2
1.0
2.848 0.000 0.000
0.000 3.612 0.000
0.000 0.000 6.902
Zn Ru La
1 2 1
Cartesian
0.000 0.000 3.045
1.424 1.806 1.571
0.000 0.000 0.474
1.424 1.806 5.263
```

Output
Total magnetic moment ... 0.0 μB per cell
DOS at the Fermi energy ... 0.942 states/eV per atom
ΔE_f ... 98 meV/atom
Space-group type ... Pmm2 (25)